Entry 1:
The following is a DFT calculation (GGA-PBE) of crystalline AcPaNi2 at its relaxed geometry.

Properties
- formation enthalpy at 0 K (eV per atom) = -0.2054
- space group = No. 123
- volume (Å³/f.u.) = 88.20
- size of the total moment (μB/cell) = 0.0
- final energy (eV/cell) = -25.99

Cell and atoms, written as POSCAR:
```
AcPaNi2
1.0
3.5108 0.0000 0.0000
0.0000 3.5108 0.0000
0.0000 0.0000 7.1560
Ac Pa Ni
1 1 2
direct
0.0000 0.0000 0.0000
0.0000 0.0000 0.5000
0.5000 0.5000 0.3174
0.5000 0.5000 0.6826
```

***

Entry 2:
The following is a DFT calculation (GGA-PBE) of crystalline NaLi2CuH at its relaxed geometry.

Properties
- space group = No. 123
- volume (Å³/f.u.) = 74.51
- size of the total moment (μB/cell) = 0.0
- final energy (eV/cell) = -12.37

Cell and atoms, written as POSCAR:
```
NaLi2CuH
1.0
4.0701 0.0000 0.0000
0.0000 4.0701 0.0000
0.0000 0.0000 4.4977
Na Li Cu H
1 2 1 1
direct
0.0000 0.0000 0.0000
0.0000 0.5000 0.5000
0.5000 0.0000 0.5000
0.5000 0.5000 0.0000
0.0000 0.0000 0.5000
```

***

Entry 3:
The following is a DFT calculation (GGA-PBE) of crystalline BaSrCu at its relaxed geometry.

Properties
- formation enthalpy at 0 K (eV per atom) = 0.0219
- space group = No. 12
- volume (Å³/f.u.) = 116.70
- size of the total moment (μB/cell) = 0.0
- final energy (eV/cell) = -15.27

Cell and atoms, written as POSCAR:
```
BaSrCu
1.0
5.6234 -3.6172 0.0000
5.6234 3.6172 0.0000
-5.5026 0.0000 5.7370
Ba Sr Cu
2 2 2
direct
0.1633 0.1633 0.3616
0.8367 0.8367 0.6384
0.3223 0.3223 0.0013
0.6777 0.6777 0.9987
0.3223 0.6777 0.5000
0.6777 0.3223 0.5000
```

***

Entry 4:
The following is a DFT calculation (GGA-PBE) of crystalline GaAsAuC at its relaxed geometry.

Properties
- formation enthalpy at 0 K (eV per atom) = 0.2953
- space group = No. 25
- volume (Å³/f.u.) = 67.12
- size of the total moment (μB/cell) = 0.0
- final energy (eV/cell) = -19.00

Cell and atoms, written as POSCAR:
```
GaAsAuC
1.0
3.0804 0.0000 0.0000
0.0000 3.3672 0.0000
0.0000 0.0000 6.4713
Ga As Au C
1 1 1 1
direct
0.0000 0.0000 0.0000
0.5000 0.5000 0.3660
0.5000 0.0000 0.6801
0.0000 0.5000 0.1829
```

***

Entry 5:
The following is a DFT calculation (GGA-PBE) of crystalline PPt2W at its relaxed geometry.

Properties
- formation enthalpy at 0 K (eV per atom) = -0.0740
- space group = No. 71
- volume (Å³/f.u.) = 59.35
- size of the total moment (μB/cell) = 0.0
- final energy (eV/cell) = -30.74

Cell and atoms, written as POSCAR:
```
PPt2W
1.0
-1.5537 2.1194 4.5055
1.5537 -2.1194 4.5055
1.5537 2.1194 -4.5055
P Pt W
1 2 1
direct
0.0000 0.0000 0.0000
0.2172 0.7172 0.5000
0.7828 0.2828 0.5000
0.5000 0.5000 0.0000
```

***

Entry 6:
The following is a DFT calculation (GGA-PBE) of crystalline CdPbSe2 at its relaxed geometry.

Properties
- space group = No. 123
- uncorrected formation energy (eV per atom) = -0.479
- volume (Å³/f.u.) = 107.41
- size of the total moment (μB/cell) = 0.0
- final energy (eV/cell) = -13.51

Cell and atoms, written as POSCAR:
```
CdPbSe2
1.0
4.2382 0.0000 0.0000
0.0000 4.2382 0.0000
0.0000 0.0000 5.9796
Cd Pb Se
1 1 2
direct
0.0000 0.0000 0.0000
0.5000 0.5000 0.5000
0.0000 0.0000 0.5000
0.5000 0.5000 0.0000
```

***

Entry 7:
The following is a DFT calculation (GGA-PBE) of crystalline Sr2InFeSb at its relaxed geometry.

Properties
- space group = No. 123
- uncorrected formation energy (eV per atom) = 0.212
- volume (Å³/f.u.) = 182.70
- size of the total moment (μB/cell) = 0.1
- final energy (eV/cell) = -17.63

Cell and atoms, written as POSCAR:
```
Sr2InFeSb
1.0
6.2405 0.0000 0.0000
0.0000 6.2405 0.0000
0.0000 0.0000 4.6913
Sr In Fe Sb
2 1 1 1
direct
0.0000 0.5000 0.0000
0.5000 0.0000 0.0000
0.0000 0.0000 0.5000
0.5000 0.5000 0.5000
0.5000 0.5000 0.0000
```

***

Entry 8:
The following is a DFT calculation (GGA-PBE) of crystalline ThScZnPd at its relaxed geometry.

Properties
- formation enthalpy at 0 K (eV per atom) = -0.4537
- space group = No. 216
- volume (Å³/f.u.) = 87.55
- size of the total moment (μB/cell) = 0.0
- final energy (eV/cell) = -22.03

Cell and atoms, written as POSCAR:
```
ThScZnPd
1.0
0.0000 3.5243 3.5243
3.5243 0.0000 3.5243
3.5243 3.5243 0.0000
Th Sc Zn Pd
1 1 1 1
direct
0.0000 0.0000 0.0000
0.5000 0.5000 0.5000
0.2500 0.2500 0.2500
0.7500 0.7500 0.7500
```